The following is a DFT calculation (PBE with a Hubbard U) of NiPd2SeO6 after structural relaxation.

Output
Crystal system   monoclinic
Calculated total energy   -5.185 eV per atom

abc: 12.6757 7.1389 5.4453
angles: 90.00 106.01 90.00
With the nearest neighbours (Å) after each atom.
Space group C2/c (No. 15)
Asymmetric unit:
Ni 0.0000 0.1090 0.2500 x4  6 O 1.97-2.15
Pd 0.2474 0.3252 0.2221 x8  5 O 1.99-2.17
Se 0.0000 0.3101 0.7500 x4  4 O 1.83-1.94
O 0.0825 0.1294 0.6518 x8  1 Se 1.83
O 0.0850 0.2880 0.1038 x8  1 Se 1.94, 1 Ni 1.97, 1 Pd 2.00
O 0.2181 0.4175 0.5774 x8  3 Pd 1.99-2.17

---

The following is a DFT calculation (PBE with a Hubbard U) of Si2NiPdO6 after structural relaxation.

Output
Crystal system   monoclinic
Calculated total energy   -6.670 eV per atom

abc: 9.9248 9.1457 5.3779
angles: 90.00 110.87 90.00
With the nearest neighbours (Å) after each atom.
Space group C2/c (No. 15)
Asymmetric unit:
Si 0.2015 0.0845 0.2327 x8  4 O 1.64-1.65
Ni 0.0000 0.4069 0.2500 x4  6 O 2.04-2.17
Pd 0.0000 0.2319 0.7500 x4  2 O 2.03
O 0.1222 0.4217 0.6458 x8  1 Si 1.64
O 0.1244 0.2445 0.1422 x8  1 Si 1.64
O 0.1425 0.0149 0.4580 x8  2 Si 1.65